No. 1
# Nd6Bi2Au (PBE, optimized geometry)
data_Nd6Bi2Au
_chemical_formula_sum 'Nd6 Bi2 Au1'
_symmetry_space_group_name_H-M 'P -6 2 m'
_symmetry_Int_Tables_number 189
_symmetry_space_group_name_Hall 'P -6 -2'
_cell_length_a 8.8200
_cell_length_b 8.8200
_cell_length_c 4.2088
_cell_angle_alpha 90.00
_cell_angle_beta 90.00
_cell_angle_gamma 120.00
loop_
_atom_site_label
_atom_site_fract_x
_atom_site_fract_y
_atom_site_fract_z
Nd1 0.0000 0.2514 0.0000
Nd2 0.0000 0.5934 0.5000
Bi1 0.3333 0.6667 0.0000
Au1 0.0000 0.0000 0.5000
# Calculated formation energy   -0.60 eV/atom

***

No. 2
# Nd3BiAu (PBE, optimized geometry)
data_Nd3BiAu
_chemical_formula_sum 'Nd24 Bi8 Au8'
_symmetry_space_group_name_H-M 'C 1 2/c 1'
_symmetry_Int_Tables_number 15
_symmetry_space_group_name_Hall '-C 2yc'
_cell_length_a 16.3958
_cell_length_b 15.8482
_cell_length_c 5.2278
_cell_angle_alpha 90.00
_cell_angle_beta 108.52
_cell_angle_gamma 90.00
loop_
_atom_site_label
_atom_site_fract_x
_atom_site_fract_y
_atom_site_fract_z
Nd1 0.1145 0.0829 0.3652
Nd2 0.1140 0.2535 0.8640
Nd3 0.1204 0.4180 0.3703
Bi1 0.2434 0.0940 0.9938
Au1 0.0000 0.2487 0.2500
Au2 0.0000 0.4196 0.7500
# Calculated formation energy   -0.53 eV/atom

***

No. 3
# NdBi2Au9 (PBE, optimized geometry)
data_NdBi2Au9
_chemical_formula_sum 'Nd3 Bi6 Au27'
_symmetry_space_group_name_H-M 'R -3 m'
_symmetry_Int_Tables_number 166
_symmetry_space_group_name_Hall '-R 3 2"'
_cell_length_a 5.6380
_cell_length_b 5.6380
_cell_length_c 28.4434
_cell_angle_alpha 90.00
_cell_angle_beta 90.00
_cell_angle_gamma 120.00
loop_
_atom_site_label
_atom_site_fract_x
_atom_site_fract_y
_atom_site_fract_z
Nd1 0.0000 0.0000 0.0000
Bi1 0.0000 0.0000 0.1465
Au1 0.0000 0.0000 0.3331
Au2 0.0000 0.0000 0.5000
Au3 0.0020 0.5010 0.9172
# Calculated formation energy   -0.23 eV/atom

***

No. 4
# NdBiAu2 (PBE, optimized geometry)
data_NdBiAu2
_chemical_formula_sum 'Nd1 Bi1 Au2'
_symmetry_space_group_name_H-M 'P 4/m m m'
_symmetry_Int_Tables_number 123
_symmetry_space_group_name_Hall '-P 4 2'
_cell_length_a 4.6574
_cell_length_b 4.6574
_cell_length_c 4.4888
_cell_angle_alpha 90.00
_cell_angle_beta 90.00
_cell_angle_gamma 90.00
loop_
_atom_site_label
_atom_site_fract_x
_atom_site_fract_y
_atom_site_fract_z
Nd1 0.0000 0.0000 0.0000
Bi1 0.5000 0.5000 0.0000
Au1 0.0000 0.5000 0.5000
# Calculated formation energy   -0.53 eV/atom
# Relative energy among the computed polymorphs   75 meV per atom

***

No. 5
# NdBiAu (PBE, optimized geometry)
data_NdBiAu
_chemical_formula_sum 'Nd2 Bi2 Au2'
_symmetry_space_group_name_H-M 'I 4 m m'
_symmetry_Int_Tables_number 107
_symmetry_space_group_name_Hall 'I 4 -2'
_cell_length_a 4.2420
_cell_length_b 4.2420
_cell_length_c 9.3413
_cell_angle_alpha 90.00
_cell_angle_beta 90.00
_cell_angle_gamma 90.00
loop_
_atom_site_label
_atom_site_fract_x
_atom_site_fract_y
_atom_site_fract_z
Nd1 0.0000 0.0000 0.0000
Bi1 0.0000 0.0000 0.3443
Au1 0.0000 0.0000 0.6659
# Calculated formation energy   -0.51 eV/atom

***

No. 6
# Nd5BiAu2 (PBE, optimized geometry)
data_Nd5BiAu2
_chemical_formula_sum 'Nd20 Bi4 Au8'
_symmetry_space_group_name_H-M 'I 4/m c m'
_symmetry_Int_Tables_number 140
_symmetry_space_group_name_Hall '-I 4 2c'
_cell_length_a 8.4272
_cell_length_b 8.4272
_cell_length_c 13.5423
_cell_angle_alpha 90.00
_cell_angle_beta 90.00
_cell_angle_gamma 90.00
loop_
_atom_site_label
_atom_site_fract_x
_atom_site_fract_y
_atom_site_fract_z
Nd1 0.0000 0.0000 0.0000
Nd2 0.1539 0.3461 0.1423
Bi1 0.0000 0.0000 0.2500
Au1 0.1371 0.3629 0.5000
# Calculated formation energy   -0.64 eV/atom

***

No. 7
# Nd4BiAu (PBE, optimized geometry)
data_Nd4BiAu
_chemical_formula_sum 'Nd16 Bi4 Au4'
_symmetry_space_group_name_H-M 'C 1 2/c 1'
_symmetry_Int_Tables_number 15
_symmetry_space_group_name_Hall '-C 2yc'
_cell_length_a 9.0266
_cell_length_b 14.3228
_cell_length_c 6.2358
_cell_angle_alpha 90.00
_cell_angle_beta 112.46
_cell_angle_gamma 90.00
loop_
_atom_site_label
_atom_site_fract_x
_atom_site_fract_y
_atom_site_fract_z
Nd1 0.1076 0.1888 0.0654
Nd2 0.2090 0.4162 0.3471
Bi1 0.0000 0.3842 0.7500
Au1 0.0000 0.0010 0.7500
# Calculated formation energy   -0.50 eV/atom

***

No. 8
# Nd7Bi2Au2 (PBE, optimized geometry)
data_Nd7Bi2Au2
_chemical_formula_sum 'Nd14 Bi4 Au4'
_symmetry_space_group_name_H-M 'C m m m'
_symmetry_Int_Tables_number 65
_symmetry_space_group_name_Hall '-C 2 2'
_cell_length_a 9.3060
_cell_length_b 11.4355
_cell_length_c 7.0606
_cell_angle_alpha 90.00
_cell_angle_beta 90.00
_cell_angle_gamma 90.00
loop_
_atom_site_label
_atom_site_fract_x
_atom_site_fract_y
_atom_site_fract_z
Nd1 0.0000 0.0000 0.0000
Nd2 0.0000 0.5000 0.2414
Nd3 0.2500 0.2500 0.2576
Bi1 0.1888 0.0000 0.5000
Au1 0.0000 0.2735 0.0000
# Calculated formation energy   -0.39 eV/atom

***

No. 9
# Nd4Bi2Au (PBE, optimized geometry)
data_Nd4Bi2Au
_chemical_formula_sum 'Nd8 Bi4 Au2'
_symmetry_space_group_name_H-M 'C 1 2/m 1'
_symmetry_Int_Tables_number 12
_symmetry_space_group_name_Hall '-C 2y'
_cell_length_a 16.3342
_cell_length_b 4.4486
_cell_length_c 7.6914
_cell_angle_alpha 90.00
_cell_angle_beta 116.81
_cell_angle_gamma 90.00
loop_
_atom_site_label
_atom_site_fract_x
_atom_site_fract_y
_atom_site_fract_z
Nd1 0.1138 0.0000 0.4408
Nd2 0.1190 0.5000 0.9671
Bi1 0.2398 0.5000 0.7355
Au1 0.0000 0.0000 0.0000
# Calculated formation energy   -0.58 eV/atom

***

No. 10
# NdBiAu (PBE, optimized geometry)
data_NdBiAu
_chemical_formula_sum 'Nd1 Bi1 Au1'
_symmetry_space_group_name_H-M 'P 3 m 1'
_symmetry_Int_Tables_number 156
_symmetry_space_group_name_Hall 'P 3 -2"'
_cell_length_a 4.7115
_cell_length_b 4.7115
_cell_length_c 4.4044
_cell_angle_alpha 90.00
_cell_angle_beta 90.00
_cell_angle_gamma 120.00
loop_
_atom_site_label
_atom_site_fract_x
_atom_site_fract_y
_atom_site_fract_z
Nd1 0.0000 0.0000 0.0000
Bi1 0.3333 0.6667 0.4548
Au1 0.6667 0.3333 0.6703
# Calculated formation energy   -0.67 eV/atom

***

No. 11
# Nd8Bi2Au3 (PBE, optimized geometry)
data_Nd8Bi2Au3
_chemical_formula_sum 'Nd16 Bi4 Au6'
_symmetry_space_group_name_H-M 'C 1 2/m 1'
_symmetry_Int_Tables_number 12
_symmetry_space_group_name_Hall '-C 2y'
_cell_length_a 16.0861
_cell_length_b 8.1590
_cell_length_c 6.5792
_cell_angle_alpha 90.00
_cell_angle_beta 95.27
_cell_angle_gamma 90.00
loop_
_atom_site_label
_atom_site_fract_x
_atom_site_fract_y
_atom_site_fract_z
Nd1 0.0797 0.0000 0.3686
Nd2 0.1091 0.2260 0.8656
Nd3 0.1572 0.5000 0.3525
Bi1 0.2474 0.0000 0.1500
Au1 0.0000 0.3265 0.5000
Au2 0.0000 0.5000 0.0000
# Calculated formation energy   -0.46 eV/atom

***

No. 12
# NdPaBiAu (PBE, optimized geometry)
data_NdPaBiAu
_chemical_formula_sum 'Nd4 Pa4 Bi4 Au4'
_symmetry_space_group_name_H-M 'F -4 3 m'
_symmetry_Int_Tables_number 216
_symmetry_space_group_name_Hall 'F -4 2 3'
_cell_length_a 7.6142
_cell_length_b 7.6142
_cell_length_c 7.6142
_cell_angle_alpha 90.00
_cell_angle_beta 90.00
_cell_angle_gamma 90.00
loop_
_atom_site_label
_atom_site_fract_x
_atom_site_fract_y
_atom_site_fract_z
Nd1 0.0000 0.0000 0.0000
Pa1 0.0000 0.0000 0.5000
Bi1 0.2500 0.2500 0.7500
Au1 0.2500 0.2500 0.2500
# Calculated formation energy   -0.29 eV/atom

***

| no. | raw total energy (eV/cell) | size of the total moment (μB/f.u.) | N(E_F) (states/eV/f.u.) |
| --- | --- | --- | --- |
| 1 | -45.08 | 0.000 | 12.18 |
| 2 | -193.09 | 0.000 | 5.13 |
| 3 | -134.22 | 0.000 | 6.47 |
| 4 | -17.33 | 0.000 | 2.06 |
| 5 | -26.94 | 0.000 | 2.76 |
| 6 | -157.66 | 0.000 | 7.86 |
| 7 | -116.85 | 0.000 | 7.58 |
| 8 | -103.95 | 0.000 | 10.69 |
| 9 | -68.37 | 0.000 | 6.31 |
| 10 | -13.95 | 0.000 | 1.58 |
| 11 | -123.32 | 0.000 | 13.41 |
| 12 | -90.37 | 3.105 | 8.79 |